Compound: NdGdTl
Source: OQMD via LeMat-Bulk
Functional: GGA-PBE
Structure: optimized geometry

a = 7.4394 Å, b = 7.4394 Å, c = 7.4394 Å
α = 90.00°, β = 90.00°, γ = 90.00°
With the nearest neighbours (Å) after each atom.
Element x y z (fractional)
1 Nd 0.0000 0.0000 0.0000  4 Tl 3.22
2 Nd 0.0000 0.5000 0.5000  4 Tl 3.22
3 Nd 0.5000 0.0000 0.5000  4 Tl 3.22
4 Nd 0.5000 0.5000 0.0000  4 Tl 3.22
5 Gd 0.0000 0.0000 0.5000  4 Tl 3.22
6 Gd 0.0000 0.5000 0.0000  4 Tl 3.22
7 Gd 0.5000 0.0000 0.0000  4 Tl 3.22
8 Gd 0.5000 0.5000 0.5000  4 Tl 3.22
9 Tl 0.2500 0.2500 0.7500  4 Gd 3.22, 4 Nd 3.22
10 Tl 0.2500 0.7500 0.2500  4 Gd 3.22, 4 Nd 3.22
11 Tl 0.7500 0.2500 0.2500  4 Gd 3.22, 4 Nd 3.22
12 Tl 0.7500 0.7500 0.7500  4 Gd 3.22, 4 Nd 3.22

---

Compound: AlCu2Mo
Source: OQMD via LeMat-Bulk
Functional: GGA-PBE
Structure: optimized geometry

a = 6.0166 Å, b = 6.0166 Å, c = 6.0166 Å
α = 90.00°, β = 90.00°, γ = 90.00°
With the nearest neighbours (Å) after each atom.
Element x y z (fractional)
1 Al 0.0000 0.0000 0.0000  4 Cu 2.61, 4 Mo 2.61
2 Al 0.0000 0.5000 0.5000  4 Cu 2.61, 4 Mo 2.61
3 Al 0.5000 0.0000 0.5000  4 Cu 2.61, 4 Mo 2.61
4 Al 0.5000 0.5000 0.0000  4 Cu 2.61, 4 Mo 2.61
5 Cu 0.0000 0.0000 0.5000  4 Mo 2.61, 4 Cu 2.61
6 Cu 0.0000 0.5000 0.0000  4 Mo 2.61, 4 Cu 2.61
7 Cu 0.2500 0.2500 0.7500  4 Al 2.61, 4 Cu 2.61
8 Cu 0.2500 0.7500 0.2500  4 Al 2.61, 4 Cu 2.61
9 Cu 0.5000 0.0000 0.0000  4 Mo 2.61, 4 Cu 2.61
10 Cu 0.5000 0.5000 0.5000  4 Mo 2.61, 4 Cu 2.61
11 Cu 0.7500 0.2500 0.2500  4 Al 2.61, 4 Cu 2.61
12 Cu 0.7500 0.7500 0.7500  4 Al 2.61, 4 Cu 2.61
13 Mo 0.2500 0.2500 0.2500  4 Al 2.61, 4 Cu 2.61
14 Mo 0.2500 0.7500 0.7500  4 Al 2.61, 4 Cu 2.61
15 Mo 0.7500 0.2500 0.7500  4 Al 2.61, 4 Cu 2.61
16 Mo 0.7500 0.7500 0.2500  4 Al 2.61, 4 Cu 2.61

---

Compound: TbH2O2F
Source: OQMD via LeMat-Bulk
Functional: GGA-PBE
Structure: optimized geometry

a = 5.9705 Å, b = 3.5417 Å, c = 6.0636 Å
α = 90.00°, β = 118.70°, γ = 90.00°
With the nearest neighbours (Å) after each atom.
Element x y z (fractional)
1 Tb 0.1602 0.2500 0.3231  6 O 2.34-2.39, 3 F 2.39-2.41
2 Tb 0.8398 0.7500 0.6769  6 O 2.34-2.39, 3 F 2.39-2.41
3 H 0.2502 0.2500 0.8740  1 O 0.97
4 H 0.3678 0.7500 0.7417  1 O 0.97
5 H 0.6322 0.2500 0.2583  1 O 0.97
6 H 0.7498 0.7500 0.1260  1 O 0.97
7 O 0.1131 0.2500 0.9175  1 H 0.97
8 O 0.1940 0.7500 0.6034  1 H 0.97
9 O 0.8060 0.2500 0.3966  1 H 0.97
10 O 0.8869 0.7500 0.0825  1 H 0.97
11 F 0.4277 0.7500 0.3113  2 H 2.26, 3 Tb 2.39-2.41
12 F 0.5723 0.2500 0.6887  2 H 2.26, 3 Tb 2.39-2.41

---

Compound: PmCdB4
Source: OQMD via LeMat-Bulk
Functional: GGA-PBE
Structure: optimized geometry

a = 3.2201 Å, b = 3.2201 Å, c = 7.9599 Å
α = 90.00°, β = 90.00°, γ = 120.00°
With the nearest neighbours (Å) after each atom.
Element x y z (fractional)
1 Pm 0.0000 0.0000 0.0000  12 B 2.76
2 Cd 0.0000 0.0000 0.5000  12 B 2.68
3 B 0.3333 0.6667 0.2568  3 B 1.86
4 B 0.3333 0.6667 0.7432  3 B 1.86
5 B 0.6667 0.3333 0.2568  3 B 1.86
6 B 0.6667 0.3333 0.7432  3 B 1.86

---

Compound: TaTlO3
Source: OQMD via LeMat-Bulk
Functional: GGA-PBE
Structure: optimized geometry

a = 5.7191 Å, b = 5.7191 Å, c = 5.7191 Å
α = 60.06°, β = 60.06°, γ = 60.06°
With the nearest neighbours (Å) after each atom.
Element x y z (fractional)
1 Ta 0.0000 0.0000 0.0000  6 O 2.02
2 Ta 0.5000 0.5000 0.5000  6 O 2.02
3 Tl 0.2500 0.2500 0.2500  12 O 2.85-2.88
4 Tl 0.7500 0.7500 0.7500  12 O 2.85-2.88
5 O 0.2472 0.7500 0.2528  2 Ta 2.02
6 O 0.2500 0.7472 0.7528  2 Ta 2.02
7 O 0.2528 0.2472 0.7500  2 Ta 2.02
8 O 0.7472 0.7528 0.2500  2 Ta 2.02
9 O 0.7500 0.2528 0.2472  2 Ta 2.02
10 O 0.7528 0.2500 0.7472  2 Ta 2.02

---

Compound: Fe2CoBi
Source: OQMD via LeMat-Bulk
Functional: GGA-PBE
Structure: optimized geometry

a = 6.0275 Å, b = 6.0275 Å, c = 6.0275 Å
α = 90.00°, β = 90.00°, γ = 90.00°
With the nearest neighbours (Å) after each atom.
Element x y z (fractional)
1 Fe 0.0000 0.0000 0.0000  4 Bi 2.61, 4 Fe 2.61
2 Fe 0.0000 0.5000 0.5000  4 Bi 2.61, 4 Fe 2.61
3 Fe 0.2500 0.2500 0.2500  4 Fe 2.61, 4 Co 2.61
4 Fe 0.2500 0.7500 0.7500  4 Fe 2.61, 4 Co 2.61
5 Fe 0.5000 0.0000 0.5000  4 Bi 2.61, 4 Fe 2.61
6 Fe 0.5000 0.5000 0.0000  4 Bi 2.61, 4 Fe 2.61
7 Fe 0.7500 0.2500 0.7500  4 Fe 2.61, 4 Co 2.61
8 Fe 0.7500 0.7500 0.2500  4 Fe 2.61, 4 Co 2.61
9 Co 0.0000 0.0000 0.5000  4 Fe 2.61, 4 Bi 2.61
10 Co 0.0000 0.5000 0.0000  4 Fe 2.61, 4 Bi 2.61
11 Co 0.5000 0.0000 0.0000  4 Fe 2.61, 4 Bi 2.61
12 Co 0.5000 0.5000 0.5000  4 Fe 2.61, 4 Bi 2.61
13 Bi 0.2500 0.2500 0.7500  4 Co 2.61, 4 Fe 2.61
14 Bi 0.2500 0.7500 0.2500  4 Co 2.61, 4 Fe 2.61
15 Bi 0.7500 0.2500 0.2500  4 Co 2.61, 4 Fe 2.61
16 Bi 0.7500 0.7500 0.7500  4 Fe 2.61, 4 Co 2.61

---

Compound: RbLiErTe3
Source: OQMD via LeMat-Bulk
Functional: GGA-PBE
Structure: optimized geometry

a = 8.5362 Å, b = 8.5362 Å, c = 11.4543 Å
α = 90.00°, β = 90.00°, γ = 150.57°
With the nearest neighbours (Å) after each atom.
Element x y z (fractional)
1 Rb 0.2465 0.7535 0.7500  8 Te 3.68-3.97
2 Rb 0.7535 0.2465 0.2500  8 Te 3.68-3.97
3 Li 0.0353 0.9647 0.2500  4 Te 2.73-2.74
4 Li 0.9647 0.0353 0.7500  4 Te 2.73-2.74
5 Er 0.5000 0.5000 0.0000  6 Te 3.05-3.07
6 Er 0.5000 0.5000 0.5000  6 Te 3.05-3.07
7 Te 0.1256 0.8744 0.0500  1 Li 2.73, 2 Er 3.05
8 Te 0.1256 0.8744 0.4500  1 Li 2.73, 2 Er 3.05
9 Te 0.4337 0.5663 0.2500  2 Li 2.74, 2 Er 3.07
10 Te 0.5663 0.4337 0.7500  2 Li 2.74, 2 Er 3.07
11 Te 0.8744 0.1256 0.5500  1 Li 2.73, 2 Er 3.05
12 Te 0.8744 0.1256 0.9500  1 Li 2.73, 2 Er 3.05

---

Compound: La2Sb3Pd9
Source: OQMD via LeMat-Bulk
Functional: GGA-PBE
Structure: optimized geometry

a = 8.0598 Å, b = 8.0598 Å, c = 9.4398 Å
α = 90.00°, β = 90.00°, γ = 60.58°
With the nearest neighbours (Å) after each atom.
Element x y z (fractional)
1 La 0.0180 0.6725 0.7500  10 Pd 3.11-3.37
2 La 0.3275 0.9820 0.7500  10 Pd 3.11-3.37
3 La 0.6725 0.0180 0.2500  10 Pd 3.11-3.37
4 La 0.9820 0.3275 0.2500  10 Pd 3.11-3.37
5 Sb 0.0000 0.0000 0.0000  8 Pd 2.64-2.87
6 Sb 0.0000 0.0000 0.5000  8 Pd 2.64-2.87
7 Sb 0.3230 0.3230 0.0000  8 Pd 2.63-2.83
8 Sb 0.3230 0.3230 0.5000  8 Pd 2.63-2.83
9 Sb 0.6770 0.6770 0.0000  8 Pd 2.63-2.83
10 Sb 0.6770 0.6770 0.5000  8 Pd 2.63-2.83
11 Pd 0.0010 0.6579 0.0856  3 Sb 2.66-2.87, 3 Pd 2.84-2.97
12 Pd 0.0010 0.6579 0.4144  3 Sb 2.66-2.87, 3 Pd 2.84-2.97
13 Pd 0.1453 0.8547 0.2500  2 Sb 2.64, 6 Pd 2.84-2.88
14 Pd 0.3327 0.6673 0.5301  3 Sb 2.72-2.83, 5 Pd 2.78-3.01
15 Pd 0.3327 0.6673 0.9699  3 Sb 2.72-2.83, 5 Pd 2.78-3.01
16 Pd 0.3421 0.9990 0.0856  3 Sb 2.66-2.87, 3 Pd 2.84-2.97
17 Pd 0.3421 0.9990 0.4144  3 Sb 2.66-2.87, 3 Pd 2.84-2.97
18 Pd 0.3596 0.4442 0.2500  2 Sb 2.63, 2 Pd 2.73-2.88
19 Pd 0.4442 0.3596 0.7500  2 Sb 2.63, 2 Pd 2.73-2.88
20 Pd 0.5558 0.6404 0.2500  2 Sb 2.63, 2 Pd 2.73-2.88
21 Pd 0.6404 0.5558 0.7500  2 Sb 2.63, 2 Pd 2.73-2.88
22 Pd 0.6579 0.0010 0.5856  3 Sb 2.66-2.87, 3 Pd 2.84-2.97
23 Pd 0.6579 0.0010 0.9144  3 Sb 2.66-2.87, 3 Pd 2.84-2.97
24 Pd 0.6673 0.3327 0.0301  3 Sb 2.72-2.83, 5 Pd 2.78-3.01
25 Pd 0.6673 0.3327 0.4699  3 Sb 2.72-2.83, 5 Pd 2.78-3.01
26 Pd 0.8547 0.1453 0.7500  2 Sb 2.64, 6 Pd 2.84-2.88
27 Pd 0.9990 0.3421 0.5856  3 Sb 2.66-2.87, 3 Pd 2.84-2.97
28 Pd 0.9990 0.3421 0.9144  3 Sb 2.66-2.87, 3 Pd 2.84-2.97

---

Compound: LuFeCoSb
Source: OQMD via LeMat-Bulk
Functional: GGA-PBE
Structure: optimized geometry

a = 6.5489 Å, b = 6.5489 Å, c = 6.5489 Å
α = 90.00°, β = 90.00°, γ = 90.00°
With the nearest neighbours (Å) after each atom.
Element x y z (fractional)
1 Lu 0.0000 0.0000 0.0000  4 Sb 2.84, 4 Co 2.84
2 Lu 0.0000 0.5000 0.5000  4 Co 2.84, 4 Sb 2.84
3 Lu 0.5000 0.0000 0.5000  4 Co 2.84, 4 Sb 2.84
4 Lu 0.5000 0.5000 0.0000  4 Co 2.84, 4 Sb 2.84
5 Fe 0.0000 0.0000 0.5000  4 Co 2.84, 4 Sb 2.84
6 Fe 0.0000 0.5000 0.0000  4 Co 2.84, 4 Sb 2.84
7 Fe 0.5000 0.0000 0.0000  4 Co 2.84, 4 Sb 2.84
8 Fe 0.5000 0.5000 0.5000  4 Co 2.84, 4 Sb 2.84
9 Co 0.2500 0.2500 0.7500  4 Fe 2.84, 4 Lu 2.84
10 Co 0.2500 0.7500 0.2500  4 Fe 2.84, 4 Lu 2.84
11 Co 0.7500 0.2500 0.2500  4 Fe 2.84, 4 Lu 2.84
12 Co 0.7500 0.7500 0.7500  4 Fe 2.84, 4 Lu 2.84
13 Sb 0.2500 0.2500 0.2500  4 Fe 2.84, 4 Lu 2.84
14 Sb 0.2500 0.7500 0.7500  4 Fe 2.84, 4 Lu 2.84
15 Sb 0.7500 0.2500 0.7500  4 Fe 2.84, 4 Lu 2.84
16 Sb 0.7500 0.7500 0.2500  4 Fe 2.84, 4 Lu 2.84

---

Compound: Na4AgGe2Ir
Source: OQMD via LeMat-Bulk
Functional: GGA-PBE
Structure: optimized geometry

a = 4.7335 Å, b = 4.7335 Å, c = 6.7114 Å
α = 90.00°, β = 90.00°, γ = 90.00°
With the nearest neighbours (Å) after each atom.
Element x y z (fractional)
1 Na 0.0000 0.0000 0.0000  4 Ge 2.75, 4 Na 2.92
2 Na 0.0000 0.5000 0.7457  4 Na 2.88-2.92, 2 Ag 2.88, 2 Ir 2.92, 1 Ge 3.10
3 Na 0.5000 0.0000 0.2543  4 Na 2.88-2.92, 2 Ag 2.88, 2 Ir 2.92, 1 Ge 3.10
4 Na 0.5000 0.5000 0.5000  4 Na 2.88, 4 Ge 3.07
5 Ag 0.0000 0.0000 0.5000  4 Na 2.88, 4 Ge 3.07
6 Ge 0.0000 0.5000 0.2080  2 Ir 2.75, 4 Na 2.75-3.07, 2 Ag 3.07
7 Ge 0.5000 0.0000 0.7920  2 Ir 2.75, 4 Na 2.75-3.07, 2 Ag 3.07
8 Ir 0.5000 0.5000 0.0000  4 Ge 2.75, 4 Na 2.92

---

Compound: Ta4TlZnN2
Source: OQMD via LeMat-Bulk
Functional: GGA-PBE
Structure: optimized geometry

a = 3.1255 Å, b = 3.1255 Å, c = 14.1206 Å
α = 90.00°, β = 90.00°, γ = 120.00°
With the nearest neighbours (Å) after each atom.
Element x y z (fractional)
1 Ta 0.0000 0.0000 0.1540  3 N 2.16
2 Ta 0.0000 0.0000 0.8460  3 N 2.16
3 Ta 0.6667 0.3333 0.3246  3 N 2.18
4 Ta 0.6667 0.3333 0.6754  3 N 2.18
5 Tl 0.0000 0.0000 0.5000  6 Ta 3.06, 6 Tl 3.13
6 Zn 0.6667 0.3333 0.0000  6 Ta 2.83, 6 Zn 3.13
7 N 0.3333 0.6667 0.2385  6 Ta 2.16-2.18
8 N 0.3333 0.6667 0.7615  6 Ta 2.16-2.18

---

Compound: Hf2BeSi
Source: OQMD via LeMat-Bulk
Functional: GGA-PBE
Structure: optimized geometry

a = 6.4023 Å, b = 6.4023 Å, c = 6.4023 Å
α = 90.00°, β = 90.00°, γ = 90.00°
With the nearest neighbours (Å) after each atom.
Element x y z (fractional)
1 Hf 0.0000 0.0000 0.0000  4 Hf 2.77, 4 Be 2.77
2 Hf 0.0000 0.5000 0.5000  4 Hf 2.77, 4 Be 2.77
3 Hf 0.2500 0.2500 0.2500  4 Si 2.77, 4 Hf 2.77
4 Hf 0.2500 0.7500 0.7500  4 Hf 2.77, 4 Si 2.77
5 Hf 0.5000 0.0000 0.5000  4 Hf 2.77, 4 Be 2.77
6 Hf 0.5000 0.5000 0.0000  4 Hf 2.77, 4 Be 2.77
7 Hf 0.7500 0.2500 0.7500  4 Hf 2.77, 4 Si 2.77
8 Hf 0.7500 0.7500 0.2500  4 Hf 2.77, 4 Si 2.77
9 Be 0.2500 0.2500 0.7500  4 Hf 2.77, 4 Si 2.77
10 Be 0.2500 0.7500 0.2500  4 Hf 2.77, 4 Si 2.77
11 Be 0.7500 0.2500 0.2500  4 Hf 2.77, 4 Si 2.77
12 Be 0.7500 0.7500 0.7500  4 Hf 2.77, 4 Si 2.77
13 Si 0.0000 0.0000 0.5000  4 Be 2.77, 4 Hf 2.77
14 Si 0.0000 0.5000 0.0000  4 Be 2.77, 4 Hf 2.77
15 Si 0.5000 0.0000 0.0000  4 Be 2.77, 4 Hf 2.77
16 Si 0.5000 0.5000 0.5000  4 Be 2.77, 4 Hf 2.77

---

Calculated DFT total energy in order - -11.916; -21.344; -37.842; -31.649; -39.869; -26.208; -23.269; -79.296; -23.669; -25.801; -70.546; -27.580 eV per formula unit